A | ! CsUPt, optimized geometry, DFT GGA-PBE; values from VASP
&SYSTEM
  ibrav = 0, nat = 3, ntyp = 3
/
ATOMIC_SPECIES
Cs 132.91 Cs.upf
Pt 195.08 Pt.upf
U 238.03 U.upf
CELL_PARAMETERS angstrom
0.000 3.506 3.506
3.506 0.000 3.506
3.506 3.506 0.000
ATOMIC_POSITIONS crystal
Cs 0.000 0.000 0.000
Pt 0.250 0.250 0.250
U 0.750 0.750 0.750
! space group: F-43m (216)

B | ! CsUPt, optimized geometry, DFT GGA-PBE; values from VASP
&SYSTEM
  ibrav = 0, nat = 3, ntyp = 3
/
ATOMIC_SPECIES
Cs 132.91 Cs.upf
Pt 195.08 Pt.upf
U 238.03 U.upf
CELL_PARAMETERS angstrom
0.000 3.659 3.659
3.659 0.000 3.659
3.659 3.659 0.000
ATOMIC_POSITIONS crystal
Cs 0.250 0.250 0.250
Pt 0.000 0.000 0.000
U 0.750 0.750 0.750
! space group: F-43m (216)

Computed relative energies in units of kJ/mol of atoms: A 54.6; B 0.0